Below is a relaxed Fe2CoSiH crystal, with properties calculated at the PBE level.

Unit cell a=3.5308 b=3.5308 c=3.6924 alpha=90.00 beta=90.00 gamma=90.00
Space group P4/mmm (No. 123)
Asymmetric unit:
1 Fe 0.0000 0.5000 0.0000
2 Co 0.0000 0.0000 0.5000
3 Si 0.5000 0.5000 0.5000
4 H 0.0000 0.0000 0.0000

Computed properties:
total moment: 4.09 Bohr magnetons per cell
raw total energy: -0.497 Ry per atom